No. 1
A plane-wave DFT calculation with GGA-PBE was carried out for Mn4Pd2S after structural relaxation.

a b c (Å): 7.1611 7.1611 7.1611
angles (deg): 145.57 145.57 49.49
Fractional coordinates of all 7 atoms:
Mn  0.0000  0.5000  0.5000
Mn  0.1797  0.1797  0.0000
Mn  0.5000  0.0000  0.5000
Mn  0.8203  0.8203  0.0000
Pd  0.3710  0.3710  0.0000
Pd  0.6290  0.6290  0.0000
S  0.0000  0.0000  0.0000

* crystal system: tetragonal
* SG: I4/mmm
* E_form (uncorrected): 1.3 eV per formula unit
* density: 6603 kg/m3

No. 2
A plane-wave DFT calculation with GGA-PBE was carried out for KCo3Hg after structural relaxation.

a b c (Å): 4.5305 4.5305 4.5305
angles (deg): 90.00 90.00 90.00
Fractional coordinates of all 5 atoms:
K  0.0000  0.0000  0.0000
Co  0.0000  0.0000  0.5000
Co  0.0000  0.5000  0.0000
Co  0.5000  0.0000  0.0000
Hg  0.5000  0.5000  0.5000

* crystal system: cubic
* SG: Pm-3m
* calculated total energy: -2.29 eV per atom
* density: 7437 kg/m3